# PBE Ce5RuC4, relaxed
# Formation energy   0.2 eV per formula unit
data_Ce5RuC4
_chemical_formula_sum 'Ce10 Ru2 C8'
_cell_length_a 7.315
_cell_length_b 8.133
_cell_length_c 6.007
_cell_angle_alpha 90.00
_cell_angle_beta 90.00
_cell_angle_gamma 90.00
_space_group_name_H-M_alt 'P m m n'
_space_group_IT_number 59
loop_
_space_group_symop_operation_xyz
'x,y,z'
'-x,-y,-z'
'-x+1/2,-y+1/2,z'
'x+1/2,y+1/2,-z'
'x+1/2,-y,-z'
'-x+1/2,y,z'
'-x,y+1/2,-z'
'x,-y+1/2,z'
loop_
_atom_site_label
_atom_site_type_symbol
_atom_site_fract_x
_atom_site_fract_y
_atom_site_fract_z
Ce1 Ce 0.003 0.069 0.224
Ce2 Ce 0.250 0.250 0.652
Ru1 Ru 0.250 0.750 0.324
C1 C 0.030 0.750 0.119
C2 C 0.250 0.521 0.476